(1)
Compound: NiAsSe2
Source: Alexandria
Functional: PBE
Structure: optimized geometry

Cell: 7.996 3.565 6.251 Å, 90.00 93.11 90.00°
Space group Cm (No. 8)
Asymmetric unit:
Ni (0.000, 0.000, 0.000)
As (0.206, 0.500, 0.082)
Se (0.118, 0.000, 0.355)
Se (0.473, 0.000, 0.755)

Values from the calculation:
Total DFT energy (no corrections)   -4.450 eV/atom
Magnetization   0.000 Bohr magnetons per cell
Uncorrected formation energy   -0.100 eV per atom

***

(2)
Compound: YAs3C
Source: Alexandria
Functional: PBE
Structure: optimized geometry

Cell: 4.486 4.486 4.486 Å, 90.00 90.00 90.00°
Space group Pm-3m (No. 221)
Asymmetric unit:
Y (0.000, 0.000, 0.000)
As (0.000, 0.500, 0.500)
C (0.500, 0.500, 0.500)

Values from the calculation:
Total DFT energy (no corrections)   -5.533 eV/atom
E above lowest polymorph   0 meV per atom
DFT formation energy   394.7 meV/atom
Magnetization   0.000 Bohr magnetons per cell

***

What did the first record say?
Compound: NiAsSe2
Source: Alexandria
Functional: PBE
Structure: optimized geometry

Cell: 7.996 3.565 6.251 Å, 90.00 93.11 90.00°
Space group Cm (No. 8)
Asymmetric unit:
Ni (0.000, 0.000, 0.000)
As (0.206, 0.500, 0.082)
Se (0.118, 0.000, 0.355)
Se (0.473, 0.000, 0.755)

Values from the calculation:
Total DFT energy (no corrections)   -4.450 eV/atom
Magnetization   0.000 Bohr magnetons per cell
Uncorrected formation energy   -0.100 eV per atom